1.
The following is a DFT calculation (GGA+U) of crystalline BeCrOF2 at its relaxed geometry.

**Volume**: 47.1 Å³ per cell
**Space-group type**: P4/mmm (123)
**ΔE to the lowest computed polymorph**: 0.0 meV per atom
**Spin magnetization**: 4.00 Bohr magnetons per cell

Unit cell a=3.220 b=3.220 c=4.544 alpha=90.00 beta=90.00 gamma=90.00
Site moments in Bohr magnetons follow the coordinates.
Atoms (fractional coordinates):
Cr1 0.500 0.500 0.500  3.84
Be1 0.000 0.000 0.000  0.00
O1 0.000 0.000 0.500  -0.05
F1 0.000 0.500 0.000  0.02
F2 0.500 0.000 0.000  0.02

=====

2.
The following is a DFT calculation (GGA+U) of crystalline BeCr2PbF8 at its relaxed geometry.

**Volume**: 165.7 Å³ per cell
**Space-group type**: P-1 (2)
**Calculated total energy**: -68.1 eV per cell
**Spin magnetization**: 8.00 Bohr magnetons per cell

Unit cell a=4.909 b=4.940 c=6.935 alpha=96.41 beta=95.52 gamma=84.41
Site moments in Bohr magnetons follow the coordinates.
Atoms (fractional coordinates):
Be1 0.000 0.000 0.000  0.00
Cr1 0.538 0.538 0.773  3.79
Cr2 0.462 0.462 0.227  3.79
Pb1 0.000 0.000 0.500  0.00
F1 0.192 0.793 0.194  0.00
F2 0.764 0.775 0.966  0.01
F3 0.802 0.198 0.198  0.00
F4 0.808 0.207 0.806  0.00
F5 0.236 0.225 0.034  0.01
F6 0.198 0.802 0.802  0.00
F7 0.658 0.673 0.459  0.01
F8 0.342 0.327 0.541  0.01

=====

3.
The following is a DFT calculation (GGA+U) of crystalline BeCrPbF6 at its relaxed geometry.

**Volume**: 131.7 Å³ per cell
**Space-group type**: P1 (1)
**Calculated total energy**: -50.6 eV per cell
**Spin magnetization**: 4.00 Bohr magnetons per cell

Unit cell a=5.067 b=5.310 c=5.539 alpha=96.41 beta=96.95 gamma=63.15
Site moments in Bohr magnetons follow the coordinates.
Atoms (fractional coordinates):
Be1 0.252 0.338 0.613  0.00
Cr1 0.632 0.682 0.455  3.81
Pb1 0.962 0.025 0.004  0.00
F1 0.114 0.280 0.356  0.02
F2 0.386 0.066 0.756  0.01
F3 0.487 0.448 0.611  0.00
F4 0.971 0.582 0.743  0.00
F5 0.401 0.666 0.139  0.00
F6 0.794 0.913 0.323  0.00

=====

> Number 2 is which compound?

BeCr2PbF8